No. 1
Below is a PBEsol-optimized structure of Rb3HgSe, with properties calculated at the SCAN level.

abc: 6.5153 6.5153 6.5153
angles: 90.00 90.00 90.00
Last column: nearest neighbours and their distance in Å.
Space group Pm-3m (No. 221)
Unique sites:
1 Rb 0.0000 0.0000 0.5000 (multiplicity 3)  2 Se 3.26
2 Hg 0.5000 0.5000 0.5000 (multiplicity 1)  12 Rb 4.61
3 Se 0.0000 0.0000 0.0000 (multiplicity 1)  6 Rb 3.26

DOS at the Fermi energy ... 3.741 states/eV/f.u.
M_tot ... 0.007 μB per formula unit
Volume ... 277 Å³ per cell
E_form (uncorrected) ... -0.65 eV/atom

---

No. 2
Below is a PBEsol-optimized structure of TaFeP2, with properties calculated at the SCAN level.

abc: 6.7161 3.0258 5.2872
angles: 90.00 102.30 90.00
Last column: nearest neighbours and their distance in Å.
Space group C2/m (No. 12)
Unique sites:
1 Ta 0.0000 0.0000 0.0000 (multiplicity 2)  6 P 2.52-2.59
2 Fe 0.0000 0.5000 0.5000 (multiplicity 2)  6 P 2.20-2.29
3 P 0.2410 0.0000 0.6948 (multiplicity 4)  3 Fe 2.20-2.29

Energy relative to the elements ... -0.78 eV per formula unit
DOS at the Fermi energy ... 2.260 states/eV/f.u.
M_tot ... 0.422 μB per formula unit
Volume ... 105 Å³ per cell

---

No. 3
Below is a PBEsol-optimized structure of LiAgSeBr2, with properties calculated at the SCAN level.

abc: 5.2774 5.2774 4.9961
angles: 90.00 90.00 90.00
Last column: nearest neighbours and their distance in Å.
Space group P4/mmm (No. 123)
Unique sites:
1 Li 0.0000 0.0000 0.0000 (multiplicity 1)  8 Br 3.63, 4 Se 3.73
2 Ag 0.5000 0.5000 0.5000 (multiplicity 1)  2 Se 2.50, 4 Br 2.64
3 Se 0.5000 0.5000 0.0000 (multiplicity 1)  2 Ag 2.50
4 Br 0.0000 0.5000 0.5000 (multiplicity 2)  2 Ag 2.64

DOS at the Fermi energy ... 4.642 states/eV/f.u.
M_tot ... 0.876 μB per formula unit
Volume ... 139 Å³ per cell
E_form (uncorrected) ... -0.27 eV/atom

---

No. 4
Below is a PBEsol-optimized structure of Ta2Co3, with properties calculated at the SCAN level.

abc: 8.2728 11.7793 5.3159
angles: 90.00 90.00 90.00
Last column: nearest neighbours and their distance in Å.
Space group Fdd2 (No. 43)
Unique sites:
1 Ta 0.0760 0.2984 0.0000 (multiplicity 16)  7 Co 2.49-2.76
2 Co 0.0000 0.0000 0.3840 (multiplicity 8)  4 Co 2.33-2.40, 4 Ta 2.49-2.53
3 Co 0.0551 0.3922 0.5258 (multiplicity 16)  4 Co 2.33-2.49, 3 Ta 2.50-2.55

Energy relative to the elements ... -0.43 eV per formula unit
DOS at the Fermi energy ... 4.248 states/eV/f.u.
M_tot ... 0.000 μB per formula unit
Volume ... 518 Å³ per cell

---

No. 5
Below is a PBEsol-optimized structure of ZrTaPb, with properties calculated at the SCAN level.

abc: 3.6365 3.6365 9.4040
angles: 90.00 90.00 90.00
Last column: nearest neighbours and their distance in Å.
Space group I4mm (No. 107)
Unique sites:
1 Zr 0.0000 0.0000 0.0000 (multiplicity 2)  5 Ta 2.98-3.19, 5 Pb 3.05-3.06
2 Ta 0.0000 0.0000 0.3397 (multiplicity 2)  5 Zr 2.98-3.19, 5 Pb 3.00-3.15
3 Pb 0.0000 0.0000 0.6749 (multiplicity 2)  5 Ta 3.00-3.15, 5 Zr 3.05-3.06

Energy relative to the elements ... 0.09 eV per formula unit
DOS at the Fermi energy ... 3.196 states/eV/f.u.
M_tot ... 0.000 μB per formula unit
Volume ... 124 Å³ per cell

---

No. 6
Below is a PBEsol-optimized structure of K2CuF4, with properties calculated at the SCAN level.

abc: 4.0433 4.0433 12.7822
angles: 90.00 90.00 90.00
Last column: nearest neighbours and their distance in Å.
Space group I4/mmm (No. 139)
Unique sites:
1 K 0.0000 0.0000 0.1431 (multiplicity 4)  9 F 2.59-2.86
2 Cu 0.0000 0.0000 0.5000 (multiplicity 2)  6 F 1.97-2.02
3 F 0.0000 0.0000 0.3460 (multiplicity 4)  1 Cu 1.97
4 F 0.0000 0.5000 0.0000 (multiplicity 4)  2 Cu 2.02

DOS at the Fermi energy ... 0.803 states/eV/f.u.
M_tot ... 1.000 μB per formula unit
Volume ... 209 Å³ per cell
E_form (uncorrected) ... -2.52 eV/atom

---

No. 7
Below is a PBEsol-optimized structure of As2SO6, with properties calculated at the SCAN level.

abc: 4.7687 11.2236 4.8409
angles: 90.00 90.00 90.00
Last column: nearest neighbours and their distance in Å.
Space group P2_12_12 (No. 18)
Unique sites:
1 As 0.2152 0.1952 0.1860 (multiplicity 4)  3 O 1.79-1.96
2 S 0.0000 0.5000 0.1859 (multiplicity 2)  4 O 1.46-1.52
3 O 0.0661 0.2546 0.8691 (multiplicity 4)  2 As 1.79-1.82
4 O 0.1032 0.4008 0.3516 (multiplicity 4)  1 S 1.46
5 O 0.2347 0.5401 0.9934 (multiplicity 4)  1 S 1.52

DOS at the Fermi energy ... 0.000 states/eV/f.u.
M_tot ... 0.000 μB per formula unit
Volume ... 259 Å³ per cell
E_form (uncorrected) ... -1.36 eV/atom

---

No. 8
Below is a PBEsol-optimized structure of Ti2MnAg, with properties calculated at the SCAN level.

abc: 6.1542 6.1542 6.1542
angles: 90.00 90.00 90.00
Last column: nearest neighbours and their distance in Å.
Space group Fm-3m (No. 225)
Unique sites:
1 Ti 0.2500 0.2500 0.2500 (multiplicity 8)  4 Mn 2.66, 4 Ag 2.66
2 Mn 0.0000 0.0000 0.0000 (multiplicity 4)  8 Ti 2.66
3 Ag 0.0000 0.0000 0.5000 (multiplicity 4)  8 Ti 2.66

Energy relative to the elements ... 0.00 eV per formula unit
DOS at the Fermi energy ... 4.038 states/eV/f.u.
M_tot ... 0.000 μB per formula unit
Volume ... 233 Å³ per cell

---

No. 9
Below is a PBEsol-optimized structure of InAgW, with properties calculated at the SCAN level.

abc: 4.6248 4.6248 2.8230
angles: 90.00 90.00 120.00
Last column: nearest neighbours and their distance in Å.
Space group P-6m2 (No. 187)
Unique sites:
1 In 0.0000 0.0000 0.0000 (multiplicity 1)  3 Ag 2.67, 2 In 2.82
2 Ag 0.6667 0.3333 0.0000 (multiplicity 1)  3 In 2.67, 2 Ag 2.82
3 W 0.3333 0.6667 0.5000 (multiplicity 1)  2 W 2.82, 6 In 3.02, 6 Ag 3.02

Energy relative to the elements ... 2.41 eV per formula unit
DOS at the Fermi energy ... 2.832 states/eV/f.u.
M_tot ... 0.005 μB per formula unit
Volume ... 52 Å³ per cell

---

No. 10
Below is a PBEsol-optimized structure of Li2MnP4O12, with properties calculated at the SCAN level.

abc: 4.9780 7.1126 7.2765
angles: 68.79 84.83 70.69
Last column: nearest neighbours and their distance in Å.
Space group P-1 (No. 2)
Unique sites:
1 Li 0.0450 0.2749 0.0572 (multiplicity 2)  4 O 1.93-2.14
2 Mn 0.0000 0.0000 0.5000 (multiplicity 1)  4 O 2.02-2.06
3 P 0.4364 0.4026 0.2793 (multiplicity 2)  4 O 1.48-1.62
4 P 0.4464 0.2004 0.7069 (multiplicity 2)  4 O 1.47-1.63
5 O 0.2219 0.1698 0.8504 (multiplicity 2)  1 P 1.47
6 O 0.2411 0.4444 0.1165 (multiplicity 2)  1 P 1.48
7 O 0.2567 0.7364 0.7133 (multiplicity 2)  1 P 1.51
8 O 0.2961 0.3029 0.4871 (multiplicity 2)  2 P 1.62-1.63
9 O 0.2971 0.9889 0.2915 (multiplicity 2)  1 P 1.52
10 O 0.4202 0.6252 0.2908 (multiplicity 2)  2 P 1.59

DOS at the Fermi energy ... 0.000 states/eV/f.u.
M_tot ... 5.000 μB per formula unit
Volume ... 227 Å³ per cell
E_form (uncorrected) ... -2.42 eV/atom

---

No. 11
Below is a PBEsol-optimized structure of HoCu2O4, with properties calculated at the SCAN level.

abc: 5.5771 5.5771 9.5046
angles: 90.00 90.00 90.00
Last column: nearest neighbours and their distance in Å.
Space group I4_1/a (No. 88, origin choice 2)
Unique sites:
1 Ho 0.0000 0.2500 0.1250 (multiplicity 4)  8 O 2.34-2.35
2 Cu 0.0000 0.0000 0.5000 (multiplicity 8)  4 O 1.87-1.89
3 O 0.1463 0.4562 0.3223 (multiplicity 16)  2 Cu 1.87-1.89

DOS at the Fermi energy ... 1.630 states/eV/f.u.
M_tot ... 1.000 μB per formula unit
Volume ... 296 Å³ per cell
E_form (uncorrected) ... -1.96 eV/atom

---

No. 12
Below is a PBEsol-optimized structure of LiCdTe, with properties calculated at the SCAN level.

abc: 3.2313 3.2313 13.2399
angles: 90.00 90.00 90.00
Last column: nearest neighbours and their distance in Å.
Space group I4mm (No. 107)
Unique sites:
1 Li 0.0000 0.0000 0.0000 (multiplicity 2)  4 Te 2.96, 4 Cd 3.06, 4 Li 3.23
2 Cd 0.0000 0.0000 0.3466 (multiplicity 2)  4 Li 3.06, 4 Cd 3.23
3 Te 0.0000 0.0000 0.6422 (multiplicity 2)  4 Li 2.96, 4 Te 3.23

DOS at the Fermi energy ... 1.332 states/eV/f.u.
M_tot ... 0.000 μB per formula unit
Volume ... 138 Å³ per cell
E_form (uncorrected) ... -0.26 eV/atom

---

No. 13
Below is a PBEsol-optimized structure of LaTe2SeI, with properties calculated at the SCAN level.

abc: 5.5014 5.5014 5.3765
angles: 90.00 90.00 90.00
Last column: nearest neighbours and their distance in Å.
Space group P4/mmm (No. 123)
Unique sites:
1 La 0.0000 0.0000 0.0000 (multiplicity 1)  8 Te 3.85, 4 I 3.89
2 Te 0.0000 0.5000 0.5000 (multiplicity 2)  2 Se 2.75
3 Se 0.5000 0.5000 0.5000 (multiplicity 1)  2 I 2.69, 4 Te 2.75
4 I 0.5000 0.5000 0.0000 (multiplicity 1)  2 Se 2.69

DOS at the Fermi energy ... 2.326 states/eV/f.u.
M_tot ... 0.183 μB per formula unit
Volume ... 163 Å³ per cell
E_form (uncorrected) ... -0.44 eV/atom